P.
An optimized crystal structure of Ag3SnSe3. Source: Alexandria, functional PBE-GGA.

Geometry as POSCAR:
```
Ag3SnSe3
1.0
3.708 2.141 7.202
-3.708 2.141 7.202
0.000 -4.282 7.202
Ag Sn Se
6 2 6
Cartesian
-2.547 -0.026 7.983
-1.250 -2.219 13.624
1.296 -2.192 7.983
-1.296 2.192 13.624
1.250 2.219 7.983
2.547 0.026 13.624
0.000 0.000 3.622
0.000 0.000 17.986
-1.257 -2.148 9.200
-2.489 0.014 12.408
-1.232 2.163 9.200
1.232 -2.163 12.408
2.489 -0.014 9.200
1.257 2.148 12.408
```

Computed properties:
Total magnetization: 0.00 μB per formula unit

=====

Q.
An optimized crystal structure of Ag3SnSe3. Source: Alexandria, functional PBE-GGA.

Geometry as POSCAR:
```
Ag3SnSe3
1.0
6.699 0.000 0.000
0.000 9.335 0.000
-1.567 0.000 11.003
Ag Sn Se
12 4 12
Cartesian
-0.620 1.501 4.405
-1.404 3.166 9.907
0.903 1.876 8.636
1.687 2.791 3.134
0.925 6.545 10.919
1.708 7.457 5.417
3.424 1.878 5.586
4.207 2.790 0.085
3.445 6.544 7.869
4.229 7.459 2.368
6.535 6.169 1.096
5.752 7.834 6.598
0.817 0.608 1.648
0.033 4.060 7.149
5.099 5.275 3.854
4.315 8.727 9.355
0.942 4.823 4.703
0.159 9.180 10.205
0.710 6.500 8.038
1.493 7.502 2.537
1.029 0.686 6.135
1.813 3.981 0.633
3.319 5.354 10.370
4.103 8.649 4.869
3.639 1.833 8.467
4.422 2.835 2.965
4.973 0.155 0.798
4.190 4.512 6.300
```

Computed properties:
Total magnetization: 0.00 μB per formula unit

=====

Winner for stability: P